Entry 1:
A relaxed structure of La5Sm4Y2, computed with PBE-GGA.

```
data_La5Sm4Y2
_chemical_formula_sum 'La10 Sm8 Y4'
_symmetry_space_group_name_H-M 'C 1 2/m 1'
_symmetry_Int_Tables_number 12
_cell_length_a 18.090
_cell_length_b 3.603
_cell_length_c 11.844
_cell_angle_alpha 90.00
_cell_angle_beta 93.99
_cell_angle_gamma 90.00
loop_
_symmetry_equiv_pos_as_xyz
'x,y,z'
'-x,-y,-z'
'-x,y,-z'
'x,-y,z'
'x+1/2,y+1/2,z'
'-x+1/2,-y+1/2,-z'
'-x+1/2,y+1/2,-z'
'x+1/2,-y+1/2,z'
loop_
_atom_site_label
_atom_site_fract_x
_atom_site_fract_y
_atom_site_fract_z
La1 0.000 0.000 0.000
La2 0.094 0.500 0.538
La3 0.178 0.500 0.075
Sm1 0.038 0.500 0.263
Sm2 0.141 0.000 0.798
Y1 0.216 0.000 0.357
```

The energy above the most stable polymorph in this dataset comes out at 0.000 eV/atom. The calculation puts the volume at 770.2 Å³/cell.


Entry 2:
A relaxed structure of LaSm10Y6, computed with PBE-GGA.

```
data_LaSm10Y6
_chemical_formula_sum 'La1 Sm10 Y6'
_symmetry_space_group_name_H-M 'P -3 1 m'
_symmetry_Int_Tables_number 162
_symmetry_space_group_name_Hall '-P 3 2'
_cell_length_a 9.8466
_cell_length_b 9.8466
_cell_length_c 6.9081
_cell_angle_alpha 90.00
_cell_angle_beta 90.00
_cell_angle_gamma 120.00
loop_
_atom_site_label
_atom_site_fract_x
_atom_site_fract_y
_atom_site_fract_z
La1 0.0000 0.0000 0.0000
Sm1 0.0000 0.2773 0.3204
Sm2 0.3333 0.6667 0.0000
Sm3 0.3333 0.6667 0.5000
Y1 0.0000 0.3730 0.8074
```

The calculation puts the volume at 580.0 Å³/cell.


Entry 3:
A relaxed structure of La6SmY3, computed with PBE-GGA.

```
data_La6SmY3
_chemical_formula_sum 'La36 Sm6 Y18'
_symmetry_space_group_name_H-M 'R -3'
_symmetry_Int_Tables_number 148
_symmetry_space_group_name_Hall '-R 3'
_cell_length_a 12.6170
_cell_length_b 12.6170
_cell_length_c 15.5860
_cell_angle_alpha 90.00
_cell_angle_beta 90.00
_cell_angle_gamma 120.00
loop_
_atom_site_label
_atom_site_fract_x
_atom_site_fract_y
_atom_site_fract_z
La1 0.0347 0.8527 0.2971
La2 0.0571 0.4814 0.5904
Sm1 0.0000 0.0000 0.0000
Sm2 0.0000 0.0000 0.5000
Y1 0.0232 0.5797 0.1990
```

The calculation puts the volume at 2148.7 Å³/cell.


Entry 4:
A relaxed structure of La4Sm3Y2, computed with PBE-GGA.

```
data_La4Sm3Y2
_chemical_formula_sum 'La8 Sm6 Y4'
_symmetry_space_group_name_H-M 'C 1 2/m 1'
_symmetry_Int_Tables_number 12
_cell_length_a 11.434
_cell_length_b 6.060
_cell_length_c 9.305
_cell_angle_alpha 90.00
_cell_angle_beta 101.93
_cell_angle_gamma 90.00
loop_
_symmetry_equiv_pos_as_xyz
'x,y,z'
'-x,-y,-z'
'-x,y,-z'
'x,-y,z'
'x+1/2,y+1/2,z'
'-x+1/2,-y+1/2,-z'
'-x+1/2,y+1/2,-z'
'x+1/2,-y+1/2,z'
loop_
_atom_site_label
_atom_site_fract_x
_atom_site_fract_y
_atom_site_fract_z
La1 0.161 0.000 0.006
La2 0.219 0.500 0.339
Sm1 0.000 0.500 0.000
Sm2 0.103 0.500 0.665
Y1 0.049 0.000 0.336
```

The energy above the most stable polymorph in this dataset comes out at 0.078 eV/atom. The calculation puts the volume at 630.8 Å³/cell.


Entry 5:
A relaxed structure of La3Sm3Y2, computed with PBE-GGA.

```
data_La3Sm3Y2
_chemical_formula_sum 'La6 Sm6 Y4'
_symmetry_space_group_name_H-M 'I m m m'
_symmetry_Int_Tables_number 71
_symmetry_space_group_name_Hall '-I 2 2'
_cell_length_a 5.162
_cell_length_b 5.191
_cell_length_c 20.693
_cell_angle_alpha 90.00
_cell_angle_beta 90.00
_cell_angle_gamma 90.00
loop_
_atom_site_label
_atom_site_fract_x
_atom_site_fract_y
_atom_site_fract_z
La1 0.000 0.000 0.000
La2 0.000 0.500 0.125
Sm1 0.000 0.000 0.500
Sm2 0.000 0.500 0.372
Y1 0.000 0.000 0.249
```

The calculation puts the volume at 554.4 Å³/cell.


Entry 6:
A relaxed structure of LaSmY14, computed with PBE-GGA.

```
data_LaSmY14
_chemical_formula_sum 'La1 Sm1 Y14'
_symmetry_space_group_name_H-M 'P 4/m m m'
_symmetry_Int_Tables_number 123
_symmetry_space_group_name_Hall '-P 4 2'
_cell_length_a 7.179
_cell_length_b 7.179
_cell_length_c 10.134
_cell_angle_alpha 90.00
_cell_angle_beta 90.00
_cell_angle_gamma 90.00
loop_
_atom_site_label
_atom_site_fract_x
_atom_site_fract_y
_atom_site_fract_z
La1 0.000 0.000 0.000
Sm1 0.500 0.500 0.000
Y1 0.000 0.000 0.500
Y2 0.000 0.500 0.000
Y3 0.000 0.500 0.500
Y4 0.251 0.251 0.252
Y5 0.500 0.500 0.500
```

The calculation puts the volume at 522.2 Å³/cell.


Entry 7:
A relaxed structure of LaSm6Y2, computed with PBE-GGA.

```
data_LaSm6Y2
_chemical_formula_sum 'La1 Sm6 Y2'
_symmetry_space_group_name_H-M 'P -3 m 1'
_symmetry_Int_Tables_number 164
_symmetry_space_group_name_Hall '-P 3 2"'
_cell_length_a 7.5079
_cell_length_b 7.5079
_cell_length_c 6.2215
_cell_angle_alpha 90.00
_cell_angle_beta 90.00
_cell_angle_gamma 120.00
loop_
_atom_site_label
_atom_site_fract_x
_atom_site_fract_y
_atom_site_fract_z
La1 0.0000 0.0000 0.0000
Sm1 0.1861 0.3722 0.7056
Y1 0.3333 0.6667 0.2140
```

The calculation puts the volume at 303.7 Å³/cell.


Entry 8:
A relaxed structure of LaSm2Y3, computed with PBE-GGA.

```
data_LaSm2Y3
_chemical_formula_sum 'La4 Sm8 Y12'
_symmetry_space_group_name_H-M 'C 1 2/c 1'
_symmetry_Int_Tables_number 15
_cell_length_a 9.060
_cell_length_b 9.971
_cell_length_c 9.076
_cell_angle_alpha 90.00
_cell_angle_beta 101.57
_cell_angle_gamma 90.00
loop_
_symmetry_equiv_pos_as_xyz
'x,y,z'
'-x,-y,-z'
'-x,y,-z+1/2'
'x,-y,z+1/2'
'x+1/2,y+1/2,z'
'-x+1/2,-y+1/2,-z'
'-x+1/2,y+1/2,-z+1/2'
'x+1/2,-y+1/2,z+1/2'
loop_
_atom_site_label
_atom_site_fract_x
_atom_site_fract_y
_atom_site_fract_z
La1 0.000 0.089 0.250
Sm1 0.123 0.253 0.626
Y1 0.000 0.421 0.250
Y2 0.248 0.084 0.998
```

The calculation puts the volume at 803.3 Å³/cell.


Entry 9:
A relaxed structure of La12Sm7Y, computed with PBE-GGA.

```
data_La12Sm7Y
_chemical_formula_sum 'La36 Sm21 Y3'
_symmetry_space_group_name_H-M 'R -3 m'
_symmetry_Int_Tables_number 166
_symmetry_space_group_name_Hall '-R 3 2"'
_cell_length_a 19.7145
_cell_length_b 19.7145
_cell_length_c 6.4288
_cell_angle_alpha 90.00
_cell_angle_beta 90.00
_cell_angle_gamma 120.00
loop_
_atom_site_label
_atom_site_fract_x
_atom_site_fract_y
_atom_site_fract_z
La1 0.0000 0.4076 0.0000
La2 0.0967 0.5484 0.4773
Sm1 0.0000 0.0000 0.0000
Sm2 0.0838 0.1675 0.3005
Y1 0.0000 0.0000 0.5000
```

The energy above the most stable polymorph in this dataset comes out at 0.000 eV/atom. The calculation puts the volume at 2163.9 Å³/cell.


Entry 10:
A relaxed structure of La12SmY5, computed with PBE-GGA.

```
data_La12SmY5
_chemical_formula_sum 'La24 Sm2 Y10'
_symmetry_space_group_name_H-M 'C m m m'
_symmetry_Int_Tables_number 65
_symmetry_space_group_name_Hall '-C 2 2'
_cell_length_a 11.579
_cell_length_b 18.284
_cell_length_c 6.077
_cell_angle_alpha 90.00
_cell_angle_beta 90.00
_cell_angle_gamma 90.00
loop_
_atom_site_label
_atom_site_fract_x
_atom_site_fract_y
_atom_site_fract_z
La1 0.156 0.000 0.000
La2 0.157 0.169 0.500
La3 0.159 0.333 0.000
La4 0.161 0.500 0.500
Sm1 0.000 0.000 0.500
Y1 0.000 0.167 0.000
Y2 0.000 0.336 0.500
Y3 0.000 0.500 0.000
```

The calculation puts the volume at 1286.5 Å³/cell.


Entry 11:
A relaxed structure of La3SmY2, computed with PBE-GGA.

```
data_La3SmY2
_chemical_formula_sum 'La12 Sm4 Y8'
_symmetry_space_group_name_H-M 'C 1 2/c 1'
_symmetry_Int_Tables_number 15
_cell_length_a 10.365
_cell_length_b 7.286
_cell_length_c 12.202
_cell_angle_alpha 90.00
_cell_angle_beta 115.12
_cell_angle_gamma 90.00
loop_
_symmetry_equiv_pos_as_xyz
'x,y,z'
'-x,-y,-z'
'-x,y,-z+1/2'
'x,-y,z+1/2'
'x+1/2,y+1/2,z'
'-x+1/2,-y+1/2,-z'
'-x+1/2,y+1/2,-z+1/2'
'x+1/2,-y+1/2,z+1/2'
loop_
_atom_site_label
_atom_site_fract_x
_atom_site_fract_y
_atom_site_fract_z
La1 0.000 0.125 0.250
La2 0.167 0.124 0.583
Sm1 0.000 0.375 0.750
Y1 0.166 0.375 0.082
```

The energy above the most stable polymorph in this dataset comes out at 0.011 eV/atom. The calculation puts the volume at 834.4 Å³/cell.


Entry 12:
A relaxed structure of La8SmY6, computed with PBE-GGA.

```
data_La8SmY6
_chemical_formula_sum 'La8 Sm1 Y6'
_symmetry_space_group_name_H-M 'P -3'
_symmetry_Int_Tables_number 147
_cell_length_a 9.4945
_cell_length_b 9.4945
_cell_length_c 6.7406
_cell_angle_alpha 90.00
_cell_angle_beta 90.00
_cell_angle_gamma 120.00
loop_
_symmetry_equiv_pos_as_xyz
'x,y,z'
'-x,-y,-z'
'-y,x-y,z'
'y,-x+y,-z'
'-x+y,-x,z'
'x-y,x,-z'
loop_
_atom_site_label
_atom_site_fract_x
_atom_site_fract_y
_atom_site_fract_z
La1 0.0465 0.7536 0.1661
La2 0.3333 0.6667 0.1182
Sm1 0.0000 0.0000 0.5000
Y1 0.0990 0.6612 0.6518
```

The calculation puts the volume at 526.2 Å³/cell.


Entry 13:
A relaxed structure of LaSm5Y3, computed with PBE-GGA.

```
data_LaSm5Y3
_chemical_formula_sum 'La4 Sm20 Y12'
_symmetry_space_group_name_H-M 'C 1 2/c 1'
_symmetry_Int_Tables_number 15
_cell_length_a 18.721
_cell_length_b 6.424
_cell_length_c 11.377
_cell_angle_alpha 90.00
_cell_angle_beta 112.64
_cell_angle_gamma 90.00
loop_
_symmetry_equiv_pos_as_xyz
'x,y,z'
'-x,-y,-z'
'-x,y,-z+1/2'
'x,-y,z+1/2'
'x+1/2,y+1/2,z'
'-x+1/2,-y+1/2,-z'
'-x+1/2,y+1/2,-z+1/2'
'x+1/2,-y+1/2,z+1/2'
loop_
_atom_site_label
_atom_site_fract_x
_atom_site_fract_y
_atom_site_fract_z
La1 0.000 0.138 0.250
Sm1 0.000 0.398 0.750
Sm2 0.170 0.182 0.868
Sm3 0.170 0.289 0.208
Y1 0.000 0.000 0.000
Y2 0.162 0.301 0.516
```

The energy above the most stable polymorph in this dataset comes out at 0.000 eV/atom. The calculation puts the volume at 1262.7 Å³/cell.


Entry 14:
A relaxed structure of La12Sm6Y, computed with PBE-GGA.

```
data_La12Sm6Y
_chemical_formula_sum 'La36 Sm18 Y3'
_symmetry_space_group_name_H-M 'R -3'
_symmetry_Int_Tables_number 148
_symmetry_space_group_name_Hall '-R 3'
_cell_length_a 15.0846
_cell_length_b 15.0846
_cell_length_c 10.4901
_cell_angle_alpha 90.00
_cell_angle_beta 90.00
_cell_angle_gamma 120.00
loop_
_atom_site_label
_atom_site_fract_x
_atom_site_fract_y
_atom_site_fract_z
La1 0.0457 0.2589 0.0733
La2 0.0645 0.2250 0.4195
Sm1 0.0483 0.2024 0.7597
Y1 0.0000 0.0000 0.0000
```

The calculation puts the volume at 2067.2 Å³/cell.


Entry 15:
A relaxed structure of La5SmY12, computed with PBE-GGA.

```
data_La5SmY12
_chemical_formula_sum 'La10 Sm2 Y24'
_symmetry_space_group_name_H-M 'C 1 2/m 1'
_symmetry_Int_Tables_number 12
_cell_length_a 18.847
_cell_length_b 10.854
_cell_length_c 6.281
_cell_angle_alpha 90.00
_cell_angle_beta 109.26
_cell_angle_gamma 90.00
loop_
_symmetry_equiv_pos_as_xyz
'x,y,z'
'-x,-y,-z'
'-x,y,-z'
'x,-y,z'
'x+1/2,y+1/2,z'
'-x+1/2,-y+1/2,-z'
'-x+1/2,y+1/2,-z'
'x+1/2,-y+1/2,z'
loop_
_atom_site_label
_atom_site_fract_x
_atom_site_fract_y
_atom_site_fract_z
La1 0.000 0.000 0.000
La2 0.166 0.000 0.500
La3 0.166 0.500 0.999
Sm1 0.000 0.500 0.500
Y1 0.000 0.170 0.500
Y2 0.000 0.333 0.000
Y3 0.166 0.332 0.498
Y4 0.167 0.169 0.001
```

The calculation puts the volume at 1213.0 Å³/cell.


Entry 16:
A relaxed structure of La2Sm5Y4, computed with PBE-GGA.

```
data_La2Sm5Y4
_chemical_formula_sum 'La4 Sm10 Y8'
_symmetry_space_group_name_H-M 'C 1 2/m 1'
_symmetry_Int_Tables_number 12
_cell_length_a 17.889
_cell_length_b 3.567
_cell_length_c 11.796
_cell_angle_alpha 90.00
_cell_angle_beta 94.04
_cell_angle_gamma 90.00
loop_
_symmetry_equiv_pos_as_xyz
'x,y,z'
'-x,-y,-z'
'-x,y,-z'
'x,-y,z'
'x+1/2,y+1/2,z'
'-x+1/2,-y+1/2,-z'
'-x+1/2,y+1/2,-z'
'x+1/2,-y+1/2,z'
loop_
_atom_site_label
_atom_site_fract_x
_atom_site_fract_y
_atom_site_fract_z
La1 0.218 0.000 0.357
Sm1 0.000 0.000 0.000
Sm2 0.094 0.500 0.538
Sm3 0.176 0.500 0.068
Y1 0.032 0.500 0.257
Y2 0.140 0.000 0.799
```

The energy above the most stable polymorph in this dataset comes out at 0.000 eV/atom. The calculation puts the volume at 750.9 Å³/cell.


Entry 17:
A relaxed structure of LaSm6Y4, computed with PBE-GGA.

```
data_LaSm6Y4
_chemical_formula_sum 'La4 Sm24 Y16'
_symmetry_space_group_name_H-M 'C m c m'
_symmetry_Int_Tables_number 63
_symmetry_space_group_name_Hall '-C 2c 2'
_cell_length_a 5.880
_cell_length_b 9.738
_cell_length_c 25.980
_cell_angle_alpha 90.00
_cell_angle_beta 90.00
_cell_angle_gamma 90.00
loop_
_atom_site_label
_atom_site_fract_x
_atom_site_fract_y
_atom_site_fract_z
La1 0.000 0.211 0.250
Sm1 0.000 0.123 0.681
Sm2 0.000 0.200 0.099
Sm3 0.000 0.450 0.750
Sm4 0.000 0.500 0.000
Y1 0.000 0.151 0.543
Y2 0.000 0.457 0.623
```

The energy above the most stable polymorph in this dataset comes out at 0.000 eV/atom. The calculation puts the volume at 1487.6 Å³/cell.


Entry 18:
A relaxed structure of La5Sm5Y2, computed with PBE-GGA.

```
data_La5Sm5Y2
_chemical_formula_sum 'La10 Sm10 Y4'
_symmetry_space_group_name_H-M 'C 1 2/m 1'
_symmetry_Int_Tables_number 12
_cell_length_a 15.628
_cell_length_b 5.202
_cell_length_c 11.540
_cell_angle_alpha 90.00
_cell_angle_beta 116.69
_cell_angle_gamma 90.00
loop_
_symmetry_equiv_pos_as_xyz
'x,y,z'
'-x,-y,-z'
'-x,y,-z'
'x,-y,z'
'x+1/2,y+1/2,z'
'-x+1/2,-y+1/2,-z'
'-x+1/2,y+1/2,-z'
'x+1/2,-y+1/2,z'
loop_
_atom_site_label
_atom_site_fract_x
_atom_site_fract_y
_atom_site_fract_z
La1 0.000 0.000 0.000
La2 0.082 0.000 0.748
La3 0.249 0.000 0.251
Sm1 0.000 0.500 0.500
Sm2 0.085 0.500 0.253
Sm3 0.167 0.500 0.000
Y1 0.167 0.000 0.499
```

The calculation puts the volume at 838.2 Å³/cell.


| no. | formation energy (eV per atom) | VASP energy (eV per atom) |
| --- | --- | --- |
| 1 | 0.069 | -5.062 |
| 2 | 0.138 | -5.209 |
| 3 | 0.196 | -5.172 |
| 4 | 0.101 | -5.098 |
| 5 | 0.023 | -5.210 |
| 6 | 0.024 | -6.235 |
| 7 | 0.184 | -4.946 |
| 8 | 0.069 | -5.558 |
| 9 | 0.181 | -4.750 |
| 10 | 0.095 | -5.248 |
| 11 | 0.017 | -5.388 |
| 12 | 0.159 | -5.369 |
| 13 | 0.284 | -5.040 |
| 14 | 0.203 | -4.740 |
| 15 | 0.025 | -5.916 |
| 16 | 0.064 | -5.327 |
| 17 | 0.117 | -5.256 |
| 18 | 0.022 | -5.075 |